Here is a relaxed Tl8BiPb2 crystal from Alexandria via LeMat-Bulk. Energies are from GGA-PBE.

Unit cell a=9.447 b=9.447 c=9.447 alpha=147.11 beta=127.57 gamma=63.30
Fractional positions:
Tl 0.109 0.342 0.766
Tl 0.158 0.158 0.000
Tl 0.283 0.000 0.283
Tl 0.424 0.658 0.766
Tl 0.576 0.342 0.234
Tl 0.717 0.000 0.717
Tl 0.842 0.842 0.000
Tl 0.891 0.658 0.234
Bi 0.000 0.500 0.500
Pb 0.322 0.822 0.500
Pb 0.678 0.178 0.500

Computed properties:
space-group type = Immm
VASP energy = -30.14 eV/f.u.
energy relative to the elements = 0.19 kcal/mol of atoms
excess energy over the best structure of this formula in the dataset = 0 meV/atom